# La2PrTi

La2PrTi after structural relaxation (GGA-PBE, Alexandria via LeMat-Bulk).

Cell: 3.402 3.402 36.854 Å, 90.00 90.00 120.00°
Fractional coordinates of all 12 atoms:
1 La 0.000 0.000 0.078
2 La 0.000 0.000 0.922
3 La 0.333 0.667 0.588
4 La 0.333 0.667 0.745
5 La 0.667 0.333 0.255
6 La 0.667 0.333 0.412
7 Pr 0.000 0.000 0.500
8 Pr 0.333 0.667 0.167
9 Pr 0.667 0.333 0.833
10 Ti 0.000 0.000 0.000
11 Ti 0.333 0.667 0.667
12 Ti 0.667 0.333 0.333

Summary:
**Total magnetic moment**: 3.05 Bohr magnetons per cell
**DFT formation energy**: 0.45 eV per atom
**DOS(E_F)**: 19.64 states/eV/cell